VASP calculation (PBE with a Hubbard U) on a relaxed SiNi2O4 crystal.

The structure in extended XYZ format:
```
7
Lattice="-3.156 1.227 -0.225 -0.706 -2.262 -2.429 -3.656 -4.231 2.633" Properties=species:S:1:pos:R:3 pbc="T T T"
O -3.081 -2.993 1.313
O -1.578 0.613 -0.112
O -0.353 -1.131 -1.215
O -4.437 -2.274 -1.333
Ni -2.485 -1.710 -0.055
Ni -5.033 -3.556 0.034
Si 0.000 0.000 0.000
```

## Properties
distance to the lowest polymorph of the same formula = 0.518 eV/atom
DOS(E_F) = 0.17 states/eV/cell
crystal system = tetragonal